NaV2O6: relaxed, PBE with a Hubbard U.

Lattice parameters (Å, degrees): 6.0675 7.3429 7.3429 83.27 74.83 74.83
Last column: nearest neighbours and their distance in Å.
Positions (direct):
Na  0.2500  0.0901  0.9099  6 O 2.38-2.45
Na  0.7500  0.9099  0.0901  6 O 2.38-2.45
V  0.2658  0.6129  0.7762  4 O 1.68-1.81
V  0.2342  0.2238  0.3871  4 O 1.68-1.81
V  0.7342  0.3871  0.2238  4 O 1.68-1.81
V  0.7658  0.7762  0.6129  4 O 1.68-1.81
O  0.5478  0.6425  0.6315  2 V 1.81
O  0.9522  0.3685  0.3575  2 V 1.81
O  0.4522  0.3575  0.3685  2 V 1.81
O  0.0478  0.6315  0.6425  2 V 1.81
O  0.8018  0.8962  0.4019  1 V 1.68
O  0.6982  0.5981  0.1038  1 V 1.68
O  0.1982  0.1038  0.5981  1 V 1.68
O  0.3018  0.4019  0.8962  1 V 1.68
O  0.1595  0.7806  0.9360  1 V 1.68
O  0.3405  0.0640  0.2194  1 V 1.68
O  0.8405  0.2194  0.0640  1 V 1.68
O  0.6595  0.9360  0.7806  1 V 1.68

Computed properties:
excess energy over the best structure of this formula in the dataset	0.040	eV/atom
E_tot	-121.42	eV for the cell shown
total magnetization	0.11	μB per atom
space-group type	C2/c (15)